Here is a geometry-optimized MnTe2H structure from the Alexandria database. Energies are from PBE. Values from VASP.

## Properties
Polymorph energy (0 for the lowest one): 461.2 meV/atom
Total magnetic moment: 0.0 μB per formula unit

Structure (Quantum ESPRESSO input):
```
&SYSTEM
  ibrav = 0, nat = 16, ntyp = 3
/
ATOMIC_SPECIES
Mn 54.94 Mn.upf
Te 127.60 Te.upf
H 1.01 H.upf
CELL_PARAMETERS angstrom
5.525 0.000 0.000
0.000 5.525 0.000
0.000 0.000 11.071
ATOMIC_POSITIONS crystal
Mn 0.000 0.000 0.000
Mn 0.000 0.500 0.250
Mn 0.500 0.000 0.750
Mn 0.500 0.500 0.500
Te 0.236 0.250 0.625
Te 0.250 0.736 0.875
Te 0.250 0.764 0.375
Te 0.264 0.250 0.125
Te 0.736 0.750 0.125
Te 0.750 0.236 0.375
Te 0.750 0.264 0.875
Te 0.764 0.750 0.625
H 0.000 0.000 0.500
H 0.000 0.500 0.750
H 0.500 0.000 0.250
H 0.500 0.500 0.000
```

Here is a geometry-optimized Mn2TeH structure from the Alexandria database. Energies are from PBE. Values from VASP.

## Properties
Polymorph energy (0 for the lowest one): 0.0 meV/atom
Total magnetic moment: 0.0 μB per formula unit

Structure (Quantum ESPRESSO input):
```
&SYSTEM
  ibrav = 0, nat = 16, ntyp = 3
/
ATOMIC_SPECIES
Mn 54.94 Mn.upf
Te 127.60 Te.upf
H 1.01 H.upf
CELL_PARAMETERS angstrom
4.487 0.000 0.000
0.000 4.487 0.000
0.000 0.000 10.134
ATOMIC_POSITIONS crystal
Mn 0.074 0.250 0.125
Mn 0.250 0.574 0.375
Mn 0.250 0.926 0.875
Mn 0.426 0.250 0.625
Mn 0.574 0.750 0.625
Mn 0.750 0.074 0.875
Mn 0.750 0.426 0.375
Mn 0.926 0.750 0.125
Te 0.000 0.000 0.500
Te 0.000 0.500 0.750
Te 0.500 0.000 0.250
Te 0.500 0.500 0.000
H 0.000 0.000 0.000
H 0.000 0.500 0.250
H 0.500 0.000 0.750
H 0.500 0.500 0.500
```

Here is a geometry-optimized YMnTe2H structure from the Alexandria database. Energies are from PBE. Values from VASP.

## Properties
Total DFT energy (no corrections): -5.1773 eV per atom
Total magnetic moment: 5.0 μB per formula unit

Structure (Quantum ESPRESSO input):
```
&SYSTEM
  ibrav = 0, nat = 5, ntyp = 4
/
ATOMIC_SPECIES
Y 88.91 Y.upf
Mn 54.94 Mn.upf
Te 127.60 Te.upf
H 1.01 H.upf
CELL_PARAMETERS angstrom
5.871 0.000 0.000
0.000 5.871 0.000
0.000 0.000 4.054
ATOMIC_POSITIONS crystal
Y 0.000 0.000 0.000
Mn 0.500 0.500 0.500
Te 0.000 0.500 0.000
Te 0.500 0.000 0.000
H 0.000 0.000 0.500
```

Here is a geometry-optimized ZrMnTe2H structure from the Alexandria database. Energies are from PBE. Values from VASP.

## Properties
Total DFT energy (no corrections): -4.7734 eV per atom
Total magnetic moment: 1.7 μB per formula unit

Structure (Quantum ESPRESSO input):
```
&SYSTEM
  ibrav = 0, nat = 5, ntyp = 4
/
ATOMIC_SPECIES
Zr 91.22 Zr.upf
Mn 54.94 Mn.upf
Te 127.60 Te.upf
H 1.01 H.upf
CELL_PARAMETERS angstrom
4.965 0.000 0.000
0.000 4.965 0.000
0.000 0.000 4.866
ATOMIC_POSITIONS crystal
Zr 0.000 0.000 0.000
Mn 0.000 0.000 0.500
Te 0.000 0.500 0.500
Te 0.500 0.000 0.500
H 0.500 0.500 0.000
```

- Which formula does entry 3 have?
  YMnTe2H

Please write out number 2 again, unchanged.
Here is a geometry-optimized Mn2TeH structure from the Alexandria database. Energies are from PBE. Values from VASP.

## Properties
Polymorph energy (0 for the lowest one): 0.0 meV/atom
Total magnetic moment: 0.0 μB per formula unit

Structure (Quantum ESPRESSO input):
```
&SYSTEM
  ibrav = 0, nat = 16, ntyp = 3
/
ATOMIC_SPECIES
Mn 54.94 Mn.upf
Te 127.60 Te.upf
H 1.01 H.upf
CELL_PARAMETERS angstrom
4.487 0.000 0.000
0.000 4.487 0.000
0.000 0.000 10.134
ATOMIC_POSITIONS crystal
Mn 0.074 0.250 0.125
Mn 0.250 0.574 0.375
Mn 0.250 0.926 0.875
Mn 0.426 0.250 0.625
Mn 0.574 0.750 0.625
Mn 0.750 0.074 0.875
Mn 0.750 0.426 0.375
Mn 0.926 0.750 0.125
Te 0.000 0.000 0.500
Te 0.000 0.500 0.750
Te 0.500 0.000 0.250
Te 0.500 0.500 0.000
H 0.000 0.000 0.000
H 0.000 0.500 0.250
H 0.500 0.000 0.750
H 0.500 0.500 0.500
```

- Look up the total magnetic moment of the fourth one.
  1.7 μB per formula unit